A plane-wave DFT calculation with GGA+U was carried out for crystalline ScCrN2F at its relaxed geometry.

```
ScCrN2F
1.0
3.875 0.000 0.000
0.000 3.875 0.000
0.000 0.000 3.733
Sc Cr N F
1 1 2 1
Direct
0.500 0.500 0.500
0.000 0.000 0.000
0.000 0.500 0.000
0.500 0.000 0.000
0.000 0.000 0.500
```

- VASP energy (eV for the cell shown) = -36.1
- symmetry = P4/mmm